Record 1
Below is a relaxed Pa2GeC crystal, with properties calculated at the PBE level.

Lattice parameters (Å, degrees): 4.3909 4.3909 8.7012 90.00 90.00 90.00
Closest atoms and distances in Å follow each position.
Space group P4/nmm (No. 129, origin choice 2)
One atom of each set of equivalent atoms:
Pa 0.2500 0.2500 0.1384  1 C 2.21
Pa 0.2500 0.7500 0.5000  4 C 2.39
Ge 0.2500 0.2500 0.7934  5 Pa 3.00-3.16
C 0.2500 0.2500 0.3927  5 Pa 2.21-2.39

Total energy, eV/cell: -67.93
Energy relative to the elements, eV/atom: -0.28
V, Å³ per atom: 20.970
E above lowest polymorph, eV per atom: 0.098



Record 2
Below is a relaxed RbTlCd17 crystal, with properties calculated at the PBE level.

Lattice parameters (Å, degrees): 10.4480 10.4480 15.1519 90.00 90.00 120.00
Closest atoms and distances in Å follow each position.
Space group R3m (No. 160, hexagonal axes)
One atom of each set of equivalent atoms:
Rb 0.0000 0.0000 0.0000  19 Cd 3.71-4.01
Tl 0.0000 0.0000 0.3189  13 Cd 3.51-3.74
Cd 0.0000 0.0000 0.5504  7 Cd 3.06-3.29
Cd 0.0000 0.0000 0.7525  10 Cd 3.06-3.41
Cd 0.0384 0.3688 0.3253  8 Cd 2.97-3.25
Cd 0.1708 0.3415 0.1379  9 Cd 3.02-3.23
Cd 0.1759 0.3518 0.4956  10 Cd 2.97-3.29
Cd 0.1782 0.3565 0.8430  8 Cd 3.02-3.25

Total energy, eV/cell: -57.05
Energy relative to the elements, eV/atom: -0.01
V, Å³ per atom: 25.130



Record 3
Below is a relaxed MoAuSe2 crystal, with properties calculated at the PBE level.

Lattice parameters (Å, degrees): 5.9692 5.9692 11.1853 90.00 90.00 90.00
Closest atoms and distances in Å follow each position.
Space group I-42d (No. 122)
One atom of each set of equivalent atoms:
Mo 0.0000 0.0000 0.0000  4 Se 2.43
Au 0.0000 0.0000 0.5000  4 Se 2.64
Se 0.2214 0.2500 0.1250  2 Mo 2.43, 2 Au 2.64

Uncorrected formation energy, eV/atom: 0.171
Total energy, eV/cell: -81.58
V, Å³ per atom: 24.909
E above lowest polymorph, eV per atom: 0.342



Record 4
Below is a relaxed La2ZnGa3Cu4 crystal, with properties calculated at the PBE level.

Lattice parameters (Å, degrees): 4.3326 4.3326 9.9510 90.00 90.00 90.00
Closest atoms and distances in Å follow each position.
Space group P-4m2 (No. 115)
One atom of each set of equivalent atoms:
La 0.0000 0.5000 0.2450  8 Cu 3.26-3.32, 6 Ga 3.28-3.34, 2 Zn 3.34
Zn 0.0000 0.0000 0.5000  4 Cu 2.51
Ga 0.0000 0.5000 0.8726  5 Cu 2.44-2.51
Ga 0.5000 0.5000 0.5000  4 Cu 2.51
Cu 0.0000 0.0000 0.0000  4 Ga 2.51
Cu 0.0000 0.5000 0.6275  3 Ga 2.44-2.51, 2 Zn 2.51
Cu 0.5000 0.5000 0.0000  4 Ga 2.51

Total energy, eV/cell: -40.59
Energy relative to the elements, eV/atom: -0.40
V, Å³ per atom: 18.680



Record 5
Below is a relaxed ZrCdPb2 crystal, with properties calculated at the PBE level.

Lattice parameters (Å, degrees): 7.4996 8.1935 3.3066 90.00 90.00 90.00
Closest atoms and distances in Å follow each position.
Space group Cmmm (No. 65)
One atom of each set of equivalent atoms:
Zr 0.0000 0.0000 0.0000  8 Pb 3.23, 2 Zr 3.31
Cd 0.0000 0.5000 0.0000  8 Pb 3.23, 2 Cd 3.31
Pb 0.2500 0.2500 0.5000  4 Zr 3.23, 4 Cd 3.23, 2 Pb 3.31

Total energy, eV/cell: -33.80
Energy relative to the elements, eV/atom: 0.00
V, Å³ per atom: 25.398



Record 6
Below is a relaxed Sm3TeO3 crystal, with properties calculated at the PBE level.

Lattice parameters (Å, degrees): 6.8675 6.8675 22.0611 90.00 90.00 120.00
Closest atoms and distances in Å follow each position.
Space group R-3 (No. 148, hexagonal axes)
One atom of each set of equivalent atoms:
Sm 0.9999 0.3284 0.3994  4 O 2.35-2.38
Te 0.0000 0.0000 0.1666  6 Sm 3.20
O 0.9997 0.3347 0.6263  4 Sm 2.35-2.38

Uncorrected formation energy, eV/atom: -2.805
Total energy, eV/cell: -310.83
V, Å³ per atom: 21.454
E above lowest polymorph, eV per atom: 0.000



Record 7
Below is a relaxed CeHf3Al8 crystal, with properties calculated at the PBE level.

Lattice parameters (Å, degrees): 5.3155 5.3155 8.9880 90.00 90.00 120.00
Closest atoms and distances in Å follow each position.
Space group P3m1 (No. 156)
One atom of each set of equivalent atoms:
Ce 0.0000 0.0000 0.0000  12 Al 3.13-3.25, 4 Hf 3.33-3.34
Hf 0.0000 0.0000 0.3715  12 Al 3.08-3.15, 3 Hf 3.28, 1 Ce 3.34
Hf 0.6667 0.3333 0.5013  12 Al 3.10-3.12, 4 Hf 3.20-3.28
Hf 0.6667 0.3333 0.8573  12 Al 3.10-3.41, 1 Hf 3.20, 3 Ce 3.33
Al 0.1632 0.3263 0.6795  6 Al 2.60-2.76
Al 0.3333 0.6667 0.4408  6 Al 2.66-2.69
Al 0.3333 0.6667 0.9325  6 Al 2.76-2.85
Al 0.5030 0.0060 0.1976  6 Al 2.61-2.85

Total energy, eV/cell: -70.51
Energy relative to the elements, eV/atom: -0.40
V, Å³ per atom: 18.327



Record 8
Below is a relaxed Bi4Pd2Au crystal, with properties calculated at the PBE level.

Lattice parameters (Å, degrees): 11.6948 11.7947 8.2783 90.00 134.54 90.00
Closest atoms and distances in Å follow each position.
Space group C2/c (No. 15)
One atom of each set of equivalent atoms:
Bi 0.0019 0.2356 0.0298  3 Pd 2.78-2.79, 1 Au 2.84
Bi 0.2226 0.0149 0.4706  3 Pd 2.78-2.79, 1 Au 2.83
Pd 0.0000 0.0000 0.0000  6 Bi 2.78-2.79
Pd 0.2500 0.2500 0.5000  6 Bi 2.78
Au 0.0000 0.3762 0.7500  4 Bi 2.83-2.84

Total energy, eV/cell: -119.62
Energy relative to the elements, eV/atom: -0.10
V, Å³ per atom: 29.065
E above lowest polymorph, eV per atom: 0.117



Record 9
Below is a relaxed InPAu crystal, with properties calculated at the PBE level.

Lattice parameters (Å, degrees): 3.9963 3.9963 4.5352 90.00 90.00 120.00
Closest atoms and distances in Å follow each position.
Space group P3m1 (No. 156)
One atom of each set of equivalent atoms:
In 0.0000 0.0000 0.0000  3 P 2.86, 3 Au 2.91
P 0.6667 0.3333 0.3719  3 Au 2.55
Au 0.3333 0.6667 0.6096  3 P 2.55

Total energy, eV/cell: -11.23
Energy relative to the elements, eV/atom: 0.06
V, Å³ per atom: 20.909
E above lowest polymorph, eV per atom: 0.030



Record 10
Below is a relaxed LiTa2Se crystal, with properties calculated at the PBE level.

Lattice parameters (Å, degrees): 6.4590 6.4590 6.4590 90.00 90.00 90.00
Closest atoms and distances in Å follow each position.
Space group F-43m (No. 216)
One atom of each set of equivalent atoms:
Li 0.0000 0.0000 0.0000  4 Ta 2.80, 4 Se 2.80
Ta 0.0000 0.0000 0.5000  4 Ta 2.80, 4 Se 2.80
Ta 0.2500 0.2500 0.2500  4 Ta 2.80, 4 Li 2.80
Se 0.2500 0.2500 0.7500  4 Ta 2.80, 4 Li 2.80

Uncorrected formation energy, eV/atom: 0.417
Total energy, eV/cell: -109.75
V, Å³ per atom: 16.841



Record 11
Below is a relaxed TiSbSeI2 crystal, with properties calculated at the PBE level.

Lattice parameters (Å, degrees): 5.2232 5.2232 5.7309 90.00 90.00 90.00
Closest atoms and distances in Å follow each position.
Space group P4/mmm (No. 123)
One atom of each set of equivalent atoms:
Ti 0.0000 0.0000 0.0000  4 I 2.61, 2 Sb 2.87
Sb 0.0000 0.0000 0.5000  2 Ti 2.87
Se 0.5000 0.5000 0.5000  4 Sb 3.69, 8 I 3.88
I 0.0000 0.5000 0.0000  2 Ti 2.61

Uncorrected formation energy, eV/atom: 0.162
Total energy, eV/cell: -17.79
V, Å³ per atom: 31.269
E above lowest polymorph, eV per atom: 0.000



Record 12
Below is a relaxed NaHgS2Cl crystal, with properties calculated at the PBE level.

Lattice parameters (Å, degrees): 4.7699 4.7699 6.0183 90.00 90.00 90.00
Closest atoms and distances in Å follow each position.
Space group P4/mmm (No. 123)
One atom of each set of equivalent atoms:
Na 0.0000 0.0000 0.0000  4 Hg 3.37
Hg 0.5000 0.5000 0.0000  2 Cl 3.01
S 0.0000 0.5000 0.5000  2 Cl 2.38
Cl 0.5000 0.5000 0.5000  4 S 2.38

Uncorrected formation energy, eV/atom: 0.314
Total energy, eV/cell: -10.15
V, Å³ per atom: 27.386
E above lowest polymorph, eV per atom: 0.364